No. 1
# TlW2

TlW2 after structural relaxation (GGA-PBE, Alexandria).

Unit cell a=5.3710 b=5.3710 c=5.3710 alpha=104.37 beta=104.37 gamma=120.25
Last column: nearest neighbours and their distance in Å.
Fractional positions:
Tl1 0.2500 0.2500 0.0000  2 Tl 2.68, 8 W 2.92
Tl2 0.7500 0.7500 0.0000  2 Tl 2.68, 8 W 2.92
W1 0.6276 0.8724 0.5000  1 W 2.38
W2 0.3724 0.1276 0.5000  1 W 2.38
W3 0.8724 0.3724 0.2449  1 W 2.38
W4 0.1276 0.6276 0.7551  1 W 2.38

Results
ΔE_f, eV/atom: 1.2858
Final energy, eV per atom: -8.1384

=====

No. 2
# Tl3W

Tl3W after structural relaxation (GGA-PBE, Alexandria).

Unit cell a=8.1218 b=8.1218 c=3.3355 alpha=90.00 beta=90.00 gamma=96.51
Last column: nearest neighbours and their distance in Å.
Fractional positions:
Tl1 0.1665 0.8335 0.7500  8 Tl 3.34-3.58, 2 W 3.56
Tl2 0.8335 0.1665 0.2500  8 Tl 3.34-3.58, 2 W 3.56
Tl3 0.6093 0.8540 0.7500  2 W 3.07, 6 Tl 3.34-3.40
Tl4 0.3907 0.1460 0.2500  2 W 3.07, 6 Tl 3.34-3.40
Tl5 0.8540 0.6093 0.2500  2 W 3.07, 6 Tl 3.34-3.40
Tl6 0.1460 0.3907 0.7500  2 W 3.07, 6 Tl 3.34-3.40
W1 0.5739 0.4261 0.7500  2 W 2.45
W2 0.4261 0.5739 0.2500  2 W 2.45

Results
ΔE_f, eV/atom: 0.5562
Final energy, eV per atom: -4.4568

=====

No. 3
# Tl5W

Tl5W after structural relaxation (GGA-PBE, Alexandria).

Unit cell a=10.5702 b=10.5702 c=4.9944 alpha=90.00 beta=90.00 gamma=162.89
Last column: nearest neighbours and their distance in Å.
Fractional positions:
Tl1 0.0154 0.9846 0.0000  8 Tl 3.14-3.15, 2 W 3.22
Tl2 0.3492 0.6508 0.0000  4 Tl 3.14-3.44
Tl3 0.6455 0.3545 0.0000  4 W 3.03, 6 Tl 3.14-3.29
Tl4 0.4625 0.5375 0.5000  8 Tl 3.14-3.44, 2 W 3.51
Tl5 0.7480 0.2520 0.5000  4 Tl 3.14-3.29, 2 W 3.23
W1 0.1128 0.8872 0.5000  8 Tl 3.03-3.23, 2 W 3.14

Results
ΔE_f, eV/atom: 0.6308
Final energy, eV per atom: -3.5000

=====

No. 4
# TlW2

TlW2 after structural relaxation (GGA-PBE, Alexandria).

Unit cell a=4.7302 b=4.7302 c=5.5750 alpha=90.00 beta=90.00 gamma=120.00
Last column: nearest neighbours and their distance in Å.
Fractional positions:
Tl1 0.6667 0.3333 0.2500  5 W 2.73-2.79
Tl2 0.3333 0.6667 0.7500  5 W 2.73-2.79
W1 0.0000 0.0000 0.0000  8 W 2.79-3.07, 6 Tl 3.07
W2 0.0000 0.0000 0.5000  8 W 2.79-3.07, 6 Tl 3.07
W3 0.3333 0.6667 0.2500  5 Tl 2.73-2.79
W4 0.6667 0.3333 0.7500  5 Tl 2.73-2.79

Results
ΔE_f, eV/atom: 1.1902
Final energy, eV per atom: -8.2340

=====

No. 5
# Tl2W3

Tl2W3 after structural relaxation (GGA-PBE, Alexandria).

Unit cell a=4.5684 b=4.5684 c=5.6692 alpha=90.00 beta=90.00 gamma=120.00
Last column: nearest neighbours and their distance in Å.
Fractional positions:
Tl1 0.6667 0.3333 0.1898  8 W 2.75-2.91
Tl2 0.3333 0.6667 0.8102  8 W 2.75-2.91
W1 0.0000 0.0000 0.0000  6 Tl 2.85
W2 0.6667 0.3333 0.6757  5 Tl 2.75-2.91
W3 0.3333 0.6667 0.3243  5 Tl 2.75-2.91

Results
ΔE_f, eV/atom: 1.8381
Final energy, eV per atom: -6.8803

=====

No. 6
# Tl5W3

Tl5W3 after structural relaxation (GGA-PBE, Alexandria).

Unit cell a=8.4747 b=8.4747 c=5.5269 alpha=90.00 beta=90.00 gamma=120.00
Last column: nearest neighbours and their distance in Å.
Fractional positions:
Tl1 0.3333 0.6667 0.0000  2 Tl 2.76, 6 W 2.91
Tl2 0.6667 0.3333 0.5000  2 Tl 2.76, 6 W 2.91
Tl3 0.6667 0.3333 0.0000  2 Tl 2.76, 6 W 2.91
Tl4 0.3333 0.6667 0.5000  2 Tl 2.76, 6 W 2.91
Tl5 0.2314 0.0000 0.2500  5 W 3.02-3.16
Tl6 0.7686 0.0000 0.7500  5 W 3.02-3.16
Tl7 0.0000 0.2314 0.2500  5 W 3.02-3.16
Tl8 0.7686 0.7686 0.2500  5 W 3.02-3.16
Tl9 0.2314 0.2314 0.7500  5 W 3.02-3.16
Tl10 0.0000 0.7686 0.7500  5 W 3.02-3.16
W1 0.5874 0.0000 0.2500  9 Tl 2.91-3.16, 2 W 3.14
W2 0.4126 0.0000 0.7500  9 Tl 2.91-3.16, 2 W 3.14
W3 0.0000 0.5874 0.2500  9 Tl 2.91-3.16, 2 W 3.14
W4 0.4126 0.4126 0.2500  9 Tl 2.91-3.16, 2 W 3.14
W5 0.5874 0.5874 0.7500  9 Tl 2.91-3.16, 2 W 3.14
W6 0.0000 0.4126 0.7500  9 Tl 2.91-3.16, 2 W 3.14

Results
ΔE_f, eV/atom: 1.1999
Final energy, eV per atom: -5.1364